Record 1
# Nd2SmCd2Pb2

An optimized crystal structure of Nd2SmCd2Pb2 (PBE, Alexandria).

Computed properties:
Calculated formation energy (kJ/mol of atoms): -20.5

Unit cell a=5.1242 b=5.1242 c=27.1506 alpha=90.00 beta=90.00 gamma=120.00
Space group R-3m (No. 166, hexagonal axes)
Inequivalent atoms, fractional coordinates:
Nd (0.0000, 0.0000, 0.1324) (multiplicity 6)
Sm (0.0000, 0.0000, 0.0000) (multiplicity 3)
Cd (0.0000, 0.0000, 0.4249) (multiplicity 6)
Pb (0.0000, 0.0000, 0.2723) (multiplicity 6)

Record 2
# SrNdCdPb

An optimized crystal structure of SrNdCdPb (PBE, Alexandria).

Computed properties:
Calculated formation energy (kJ/mol of atoms): -38.7

Unit cell a=7.9691 b=7.9691 c=7.9691 alpha=90.00 beta=90.00 gamma=90.00
Space group F-43m (No. 216)
Inequivalent atoms, fractional coordinates:
Sr (0.0000, 0.0000, 0.0000) (multiplicity 4)
Nd (0.0000, 0.0000, 0.5000) (multiplicity 4)
Cd (0.2500, 0.2500, 0.2500) (multiplicity 4)
Pb (0.2500, 0.2500, 0.7500) (multiplicity 4)

Record 3
# NdThCdPb

An optimized crystal structure of NdThCdPb (PBE, Alexandria).

Computed properties:
Calculated formation energy (kJ/mol of atoms): -24.0

Unit cell a=7.7994 b=7.7994 c=7.7994 alpha=90.00 beta=90.00 gamma=90.00
Space group F-43m (No. 216)
Inequivalent atoms, fractional coordinates:
Nd (0.0000, 0.0000, 0.0000) (multiplicity 4)
Th (0.0000, 0.0000, 0.5000) (multiplicity 4)
Cd (0.2500, 0.2500, 0.2500) (multiplicity 4)
Pb (0.2500, 0.2500, 0.7500) (multiplicity 4)

Record 4
# NdYCdPb

An optimized crystal structure of NdYCdPb (PBE, Alexandria).

Computed properties:
Calculated formation energy (kJ/mol of atoms): -41.0

Unit cell a=7.6725 b=7.6725 c=7.6725 alpha=90.00 beta=90.00 gamma=90.00
Space group F-43m (No. 216)
Inequivalent atoms, fractional coordinates:
Nd (0.0000, 0.0000, 0.0000) (multiplicity 4)
Y (0.0000, 0.0000, 0.5000) (multiplicity 4)
Cd (0.2500, 0.2500, 0.7500) (multiplicity 4)
Pb (0.2500, 0.2500, 0.2500) (multiplicity 4)

Record 5
# NdZnCdPb

An optimized crystal structure of NdZnCdPb (PBE, Alexandria).

Computed properties:
Calculated formation energy (kJ/mol of atoms): -16.0

Unit cell a=7.4260 b=7.4260 c=7.4260 alpha=90.00 beta=90.00 gamma=90.00
Space group F-43m (No. 216)
Inequivalent atoms, fractional coordinates:
Nd (0.0000, 0.0000, 0.0000) (multiplicity 4)
Zn (0.2500, 0.2500, 0.2500) (multiplicity 4)
Cd (0.2500, 0.2500, 0.7500) (multiplicity 4)
Pb (0.0000, 0.0000, 0.5000) (multiplicity 4)

Record 6
# NdZrCdPb

An optimized crystal structure of NdZrCdPb (PBE, Alexandria).

Computed properties:
Calculated formation energy (kJ/mol of atoms): -15.8

Unit cell a=7.4640 b=7.4640 c=7.4640 alpha=90.00 beta=90.00 gamma=90.00
Space group F-43m (No. 216)
Inequivalent atoms, fractional coordinates:
Nd (0.0000, 0.0000, 0.0000) (multiplicity 4)
Zr (0.0000, 0.0000, 0.5000) (multiplicity 4)
Cd (0.2500, 0.2500, 0.2500) (multiplicity 4)
Pb (0.2500, 0.2500, 0.7500) (multiplicity 4)

Record 7
# Nd3CdPd

An optimized crystal structure of Nd3CdPd (PBE, Alexandria).

Computed properties:
Calculated formation energy (kJ/mol of atoms): -27.0

Unit cell a=10.2611 b=15.3788 c=4.0012 alpha=90.00 beta=90.00 gamma=90.00
Space group Cmmm (No. 65)
Inequivalent atoms, fractional coordinates:
Nd (0.0000, 0.1706, 0.0000) (multiplicity 4)
Nd (0.1967, 0.3839, 0.5000) (multiplicity 8)
Cd (0.0000, 0.0000, 0.5000) (multiplicity 2)
Cd (0.0000, 0.5000, 0.0000) (multiplicity 2)
Pd (0.2500, 0.2500, 0.0000) (multiplicity 4)

Record 8
# Nd8Cd2Pd

An optimized crystal structure of Nd8Cd2Pd (PBE, Alexandria).

Computed properties:
Calculated formation energy (kJ/mol of atoms): -19.8

Unit cell a=18.5368 b=5.3531 c=7.0297 alpha=90.00 beta=102.40 gamma=90.00
Space group C2/m (No. 12)
Inequivalent atoms, fractional coordinates:
Nd (0.0204, 0.0000, 0.2721) (multiplicity 4)
Nd (0.0909, 0.5000, 0.9463) (multiplicity 4)
Nd (0.1528, 0.5000, 0.4603) (multiplicity 4)
Nd (0.2016, 0.0000, 0.7991) (multiplicity 4)
Cd (0.1905, 0.0000, 0.2369) (multiplicity 4)
Pd (0.0000, 0.5000, 0.5000) (multiplicity 2)